Crystalline LiZrCu2 at its relaxed geometry, computed with PBE.

It has space group Immm (No. 71), with a = 2.678 Å, b = 4.658 Å, c = 9.980 Å, α = 90.00°, β = 90.00° and γ = 90.00°. The distinct sites, in fractional coordinates, are Li at (0.000, 0.000, 0.000), Zr at (0.000, 0.000, 0.500) and Cu at (0.000, 0.000, 0.227).

The value obtained for the energy is -4.19 eV per atom. As for the total magnetic moment: 0.0 Bohr magnetons per cell. The density comes out at 6.01 g/cm3. As for the energy of formation from the pure elements: 182 kJ/mol of formula units.